(1)
Material: PmCoAgSb
Method: DFT, PBE
State: relaxed

space group	F-43m
formation energy (no corrections)	-0.14	eV/atom

Cell and atoms, written as extended XYZ:
```
4
Lattice="0.0000 3.4183 3.4183 3.4183 0.0000 3.4183 3.4183 3.4183 0.0000" Properties=species:S:1:pos:R:3 pbc="T T T"
Pm 0.0000 0.0000 0.0000
Co 1.7092 1.7092 1.7092
Ag 5.1275 5.1275 5.1275
Sb 3.4183 3.4183 3.4183
```

(2)
Material: BrO
Method: DFT, PBE
State: relaxed

energy above the lowest structure with this stoichiometry	0.58	eV per formula unit
space group	P6_3mc
formation energy (no corrections)	0.43	eV/atom

Cell and atoms, written as extended XYZ:
```
4
Lattice="3.5270 0.0000 0.0000 -1.7635 3.0545 0.0000 0.0000 0.0000 7.4725" Properties=species:S:1:pos:R:3 pbc="T T T"
Br 0.0000 2.0363 0.0000
Br 1.7635 1.0182 3.7362
O 0.0000 2.0363 5.7295
O 1.7635 1.0182 1.9932
```

(3)
Material: ScHg2Cl
Method: DFT, PBE
State: relaxed

energy above the lowest structure with this stoichiometry	0.41	eV per formula unit
space group	Cmm2
formation energy (no corrections)	-0.60	eV/atom

Cell and atoms, written as extended XYZ:
```
4
Lattice="1.7642 -2.9556 0.0000 1.7642 2.9556 0.0000 0.0000 0.0000 10.2849" Properties=species:S:1:pos:R:3 pbc="T T T"
Sc 0.0000 0.0000 0.0000
Hg 0.0000 0.0000 5.4064
Hg 1.7642 0.0000 7.9788
Cl 1.7642 0.0000 1.7945
```

(4)
Material: LaGa2GeRh
Method: DFT, PBE
State: relaxed

space group	Imm2
ΔH_f (0 K)	-676	meV/atom

Cell and atoms, written as extended XYZ:
```
5
Lattice="-2.0774 2.1319 5.4928 2.0774 -2.1319 5.4928 2.0774 2.1319 -5.4928" Properties=species:S:1:pos:R:3 pbc="T T T"
La 0.0000 0.0000 0.0000
Ga 0.0000 0.0000 4.1437
Ga 0.0000 2.1319 2.7554
Ge 0.0000 0.0000 6.7241
Rh 2.0774 0.0000 2.6488
```

(5)
Material: BeSiMo2S
Method: DFT, PBE
State: relaxed

space group	P4/mmm
formation energy (no corrections)	1.48	eV/atom

Cell and atoms, written as extended XYZ:
```
5
Lattice="4.6107 0.0000 0.0000 0.0000 4.6107 0.0000 0.0000 0.0000 4.2690" Properties=species:S:1:pos:R:3 pbc="T T T"
Be 0.0000 0.0000 0.0000
Si 2.3054 2.3054 2.1345
Mo 0.0000 2.3054 2.1345
Mo 2.3054 0.0000 2.1345
S 2.3054 2.3054 0.0000
```

(6)
Material: Ac2Hg3Ir2
Method: DFT, PBE
State: relaxed

space group	Cmmm
ΔH_f (0 K)	-416	meV/atom

Cell and atoms, written as extended XYZ:
```
7
Lattice="2.1636 -10.1684 0.0000 2.1636 10.1684 0.0000 0.0000 0.0000 4.3127" Properties=species:S:1:pos:R:3 pbc="T T T"
Ac 2.1636 6.7928 0.0000
Ac 2.1636 -6.7928 0.0000
Hg 0.0000 0.0000 0.0000
Hg 2.1636 1.4736 2.1563
Hg 2.1636 -1.4736 2.1563
Ir 2.1636 4.3791 2.1563
Ir 2.1636 -4.3791 2.1563
```